No. 1
Below is a geometry-optimized Th2AlSi2Ru5 structure, with properties calculated at the PBE-GGA level.

a = 3.331 Å, b = 10.118 Å, c = 10.118 Å
α = 90.00°, β = 90.00°, γ = 90.00°
Fractional coordinates of all 20 atoms:
Th  0.000  0.676  0.176
Th  0.000  0.324  0.824
Th  0.000  0.176  0.324
Th  0.000  0.824  0.676
Al  0.000  0.000  0.000
Al  0.000  0.500  0.500
Si  0.000  0.123  0.623
Si  0.000  0.877  0.377
Si  0.000  0.623  0.877
Si  0.000  0.377  0.123
Ru  0.500  0.212  0.066
Ru  0.500  0.788  0.934
Ru  0.500  0.066  0.788
Ru  0.500  0.712  0.434
Ru  0.500  0.934  0.212
Ru  0.500  0.288  0.566
Ru  0.500  0.566  0.712
Ru  0.500  0.434  0.288
Ru  0.500  0.500  0.000
Ru  0.500  0.000  0.500

- Fermi-level density of states: 8.0 states/eV/cell
- Uncorrected formation energy: -0.663 eV/atom
- ρ: 10.2 g/cm³
- Total magnetization: 0.0 μB per formula unit
- Space group: P4/mbm

=====

No. 2
Below is a geometry-optimized AcSmEuSn structure, with properties calculated at the PBE-GGA level.

a = 5.702 Å, b = 5.702 Å, c = 5.702 Å
α = 60.00°, β = 60.00°, γ = 60.00°
Fractional coordinates of all 4 atoms:
Eu  0.000  0.000  0.000
Ac  0.750  0.750  0.750
Sn  0.250  0.250  0.250
Sm  0.500  0.500  0.500

- Fermi-level density of states: 5.5 states/eV/cell
- ρ: 8.2 g/cm³
- Total magnetization: 8.2 μB per formula unit
- E_form: -0.711 eV/f.u.
- Space group: F-43m

=====

No. 3
Below is a geometry-optimized TbPrNdTe3 structure, with properties calculated at the PBE-GGA level.

a = 4.343 Å, b = 8.674 Å, c = 11.035 Å
α = 105.44°, β = 90.00°, γ = 90.00°
Fractional coordinates of all 12 atoms:
Tb  0.250  0.665  0.095
Tb  0.750  0.335  0.905
Pr  0.250  0.185  0.215
Pr  0.750  0.815  0.785
Nd  0.250  0.156  0.620
Nd  0.750  0.844  0.380
Te  0.750  0.912  0.104
Te  0.250  0.088  0.896
Te  0.250  0.769  0.559
Te  0.750  0.231  0.441
Te  0.750  0.476  0.196
Te  0.250  0.524  0.804

- Fermi-level density of states: 8.2 states/eV/cell
- Uncorrected formation energy: -1.259 eV/atom
- ρ: 6.9 g/cm³
- Total magnetization: 0.6 μB per formula unit
- Space group: P2_1/m

=====

No. 4
Below is a geometry-optimized BaSrPd3 structure, with properties calculated at the PBE-GGA level.

a = 5.406 Å, b = 5.406 Å, c = 5.406 Å
α = 90.00°, β = 90.00°, γ = 90.00°
Fractional coordinates of all 5 atoms:
Sr  0.000  0.000  0.000
Ba  0.500  0.500  0.500
Pd  0.000  0.500  0.000
Pd  0.000  0.000  0.500
Pd  0.500  0.000  0.000

- Fermi-level density of states: 8.7 states/eV/cell
- ρ: 5.7 g/cm³
- Total magnetization: 0.0 μB per formula unit
- E_form: 0.855 eV/f.u.
- Space group: Pm-3m
- E above lowest polymorph: 0.0000 eV per atom